Entry from Alexandria: KNiF3 after structural relaxation (GGA+U).

Lattice parameters (Å, degrees): 3.182 3.182 6.698 90.00 90.00 90.00
Space group P4/mmm (No. 123)
Asymmetric unit:
1 K 0.000 0.000 0.000 [1 per cell]
2 Ni 0.500 0.500 0.500 [1 per cell]
3 F 0.000 0.000 0.500 [1 per cell]
4 F 0.500 0.500 0.218 [2 per cell]

Results
Its spin magnetization is 2.0 μB per formula unit. Its calculated total energy is -4.175 eV/atom.